Computed, not measured: a relaxed Cu3MoO6 crystal at the GGA+U level of DFT.

**V**: 12.141 Å³/atom
**Energy relative to the lowest polymorph listed for this composition**: 0 meV/atom
**Density of states at the Fermi level**: 3.62 states/eV/f.u.
**E_tot**: -5.78 eV/atom
**Total moment**: 0.0 μB per cell
**Space-group type**: Cmc2_1

Geometry as POSCAR:
```
Cu3MoO6
1.0
-2.337 4.458 1.132
-4.586 -1.136 -4.998
-3.590 -3.140 4.956
Cu Mo O
6 2 12
Direct
0.424 0.856 0.607
0.924 0.607 0.856
0.454 0.457 0.543
0.954 0.543 0.457
0.924 0.144 0.393
0.424 0.393 0.144
0.983 0.145 0.855
0.483 0.855 0.145
0.196 0.631 0.665
0.696 0.665 0.631
0.127 0.381 0.965
0.627 0.965 0.381
0.359 0.021 0.979
0.695 0.238 0.762
0.195 0.762 0.238
0.859 0.979 0.021
0.127 0.035 0.619
0.627 0.619 0.035
0.196 0.335 0.369
0.696 0.369 0.335
```